Entry one
First-principles (PBE-GGA) data for an optimized crystal structure of HfNi6, as listed in the Alexandria database.

## Properties
Spin magnetization   4.351 μB/cell
Fermi-level density of states   7.01 states/eV/cell

a = 5.265 Å, b = 5.265 Å, c = 5.265 Å
α = 109.47°, β = 109.47°, γ = 109.47°
Fractional positions:
Hf: 0.000 0.000 0.000
Ni: 0.250 0.500 0.750
Ni: 0.250 0.750 0.500
Ni: 0.500 0.250 0.750
Ni: 0.500 0.750 0.250
Ni: 0.750 0.250 0.500
Ni: 0.750 0.500 0.250

=====

Entry two
First-principles (PBE-GGA) data for an optimized crystal structure of HfNi6, as listed in the Alexandria database.

## Properties
Spin magnetization   5.780 μB/cell
Fermi-level density of states   43.71 states/eV/cell

a = 7.676 Å, b = 4.703 Å, c = 9.576 Å
α = 90.00°, β = 90.00°, γ = 90.00°
Fractional positions:
Hf: 0.245 0.250 0.063
Hf: 0.255 0.750 0.563
Hf: 0.745 0.250 0.437
Hf: 0.755 0.750 0.937
Ni: 0.054 0.750 0.083
Ni: 0.065 0.007 0.306
Ni: 0.065 0.493 0.306
Ni: 0.103 0.250 0.519
Ni: 0.149 0.750 0.848
Ni: 0.186 0.250 0.758
Ni: 0.314 0.750 0.258
Ni: 0.351 0.250 0.348
Ni: 0.397 0.750 0.019
Ni: 0.435 0.507 0.806
Ni: 0.435 0.993 0.806
Ni: 0.446 0.250 0.583
Ni: 0.554 0.750 0.417
Ni: 0.565 0.007 0.194
Ni: 0.565 0.493 0.194
Ni: 0.603 0.250 0.981
Ni: 0.649 0.750 0.652
Ni: 0.686 0.250 0.742
Ni: 0.814 0.750 0.242
Ni: 0.851 0.250 0.152
Ni: 0.897 0.750 0.481
Ni: 0.935 0.507 0.694
Ni: 0.935 0.993 0.694
Ni: 0.946 0.250 0.917

=====

Short version: entry two is the most stable of them.